Crystalline Sm2Zn12InCu3 at its relaxed geometry. Source: Alexandria via LeMat-Bulk, functional GGA-PBE.

```
Sm2Zn12InCu3
1.0
4.0870 2.3596 6.9381
-4.0870 2.3596 6.9381
0.0000 -4.7193 6.9381
Sm Zn In Cu
2 12 1 3
Cartesian
0.0000 0.0000 2.0141
0.0000 0.0000 18.8002
-2.6682 -1.5405 9.2840
0.0000 -2.2633 6.6464
-1.9600 1.1316 6.6464
0.0000 -3.0809 11.5303
-2.6682 1.5405 11.5303
-1.9601 -1.1316 14.1679
1.9600 1.1316 6.6464
2.6682 -1.5405 9.2840
0.0000 3.0809 9.2840
1.9601 -1.1316 14.1679
0.0000 2.2633 14.1679
2.6682 1.5405 11.5303
0.0000 0.0000 10.4071
-2.0435 -1.1798 6.9381
-2.0435 1.1798 13.8762
0.0000 2.3596 6.9381
```

Calculated values
Calculated volume (Å³ per cell): 401.5
E (eV per atom): -1.98
ΔE_f (eV/f.u.): 4.03
Crystal system: trigonal